Entry from Alexandria via LeMat-Bulk: Ce4Th3Ge4 after structural relaxation (PBE).

## Properties
Crystal system = orthorhombic
Calculated density = 8.73 g/cm3
Formation energy from the elements = -0.57 eV/atom
Fermi-level density of states = 1.7965 states/eV per atom

a = 4.0030 Å, b = 8.4895 Å, c = 9.8462 Å
α = 115.54°, β = 101.73°, γ = 90.00°
Last column: magnetic moment on the atom in μB.
Sites, in units of the cell vectors:
Ce  0.3308  0.1686  0.6616  0.48
Ce  0.6692  0.5069  0.3384  0.48
Ce  0.6692  0.8314  0.3384  0.48
Ce  0.3308  0.4931  0.6616  0.48
Th  0.0960  0.0960  0.1921  0.01
Th  0.9040  0.9040  0.8079  0.01
Th  0.0000  0.5000  0.0000  0.02
Ge  0.2733  0.7733  0.5467  -0.01
Ge  0.7267  0.2267  0.4533  -0.01
Ge  0.5000  0.7836  0.0000  0.00
Ge  0.5000  0.2164  0.0000  0.00